## KFeSe2 (PBEsol)

Data for KFeSe2 after structural relaxation.

abc: 3.4820 3.4820 8.1126
angles: 90.00 90.00 90.00
Closest atoms and distances in Å follow each position.
Space group P4mm (No. 99)
Unique sites:
K 0.0000 0.0000 0.0000 [1 per cell]  5 Se 3.15-3.17, 4 K 3.48
Fe 0.5000 0.5000 0.5218 [1 per cell]  1 Se 2.27
Se 0.0000 0.0000 0.6090 [1 per cell]  4 Fe 2.56
Se 0.5000 0.5000 0.2420 [1 per cell]  1 Fe 2.27

## Properties
Its density of states at the Fermi level is 3.509 states/eV/f.u. For the volume, the calculation gives 98.36 Å³/cell. The calculation puts the raw formation energy at -0.2418 eV per atom.